The following is a GGA-PBE calculation of a relaxed structure of PBr, from Alexandria.

abc: 3.5278 3.5278 26.0417
angles: 90.00 90.00 120.00
Closest atoms and distances in Å follow each position.
Positions (direct):
P: 0.0000 0.0000 0.1444  3 P 2.34
P: 0.0000 0.0000 0.8556  3 P 2.34
P: 0.3333 0.6667 0.5222  3 P 2.34
P: 0.3333 0.6667 0.8111  3 P 2.34
P: 0.6667 0.3333 0.1889  3 P 2.34
P: 0.6667 0.3333 0.4778  3 P 2.34
Br: 0.0000 0.0000 0.4019  3 P 2.84
Br: 0.0000 0.0000 0.5981  3 P 2.84
Br: 0.3333 0.6667 0.0686  3 P 2.84
Br: 0.3333 0.6667 0.2647  3 P 2.84
Br: 0.6667 0.3333 0.7353  3 P 2.84
Br: 0.6667 0.3333 0.9314  3 P 2.84

Properties
The crystal system is trigonal. Its formation energy without anion corrections is 30 kJ/mol of formula units. The total energy is -3.39 eV per atom.

***

The following is a GGA-PBE calculation of a relaxed structure of TlCdPbO3, from Alexandria.

abc: 7.0837 3.4771 9.7539
angles: 90.00 90.49 90.00
Closest atoms and distances in Å follow each position.
Positions (direct):
Tl: 0.1434 0.2500 0.1200  3 O 2.35-2.39
Tl: 0.8566 0.7500 0.8800  3 O 2.35-2.39
Cd: 0.3302 0.7500 0.4254  3 O 2.19-2.23
Cd: 0.6698 0.2500 0.5746  3 O 2.19-2.23
Pb: 0.3419 0.7500 0.7746  4 O 2.44-2.66
Pb: 0.6581 0.2500 0.2254  4 O 2.44-2.66
O: 0.1490 0.2500 0.8794  1 Tl 2.35, 2 Pb 2.44
O: 0.3234 0.2500 0.5682  3 Cd 2.23-2.45
O: 0.3473 0.7500 0.2014  1 Cd 2.19, 2 Tl 2.39
O: 0.6527 0.2500 0.7986  1 Cd 2.19, 2 Tl 2.39
O: 0.6766 0.7500 0.4318  3 Cd 2.23-2.45
O: 0.8510 0.7500 0.1206  1 Tl 2.35, 2 Pb 2.44

Properties
The crystal system is monoclinic. Its formation energy without anion corrections is -404 kJ/mol of formula units. The total energy is -4.34 eV per atom.

***

The following is a GGA-PBE calculation of a relaxed structure of InRe2Ni, from Alexandria.

abc: 2.8997 3.7743 5.7474
angles: 90.00 91.32 90.00
Closest atoms and distances in Å follow each position.
Positions (direct):
In: 0.0000 0.0000 0.0000  4 Ni 2.72-2.73, 6 Re 2.83-3.01, 2 In 2.90
Re: 0.0360 0.0000 0.4916  4 Re 2.52-2.75, 2 Ni 2.78
Re: 0.4726 0.5000 0.6860  4 Re 2.52-2.75, 1 Ni 2.61
Ni: 0.5062 0.5000 0.2321  5 Re 2.61-2.84, 4 In 2.72-2.73, 2 Ni 2.90

Properties
The crystal system is monoclinic. The total energy is -8.10 eV per atom.

***

The following is a GGA-PBE calculation of a relaxed structure of TaAl3Pd, from Alexandria.

abc: 4.9574 4.9574 4.9574
angles: 90.00 90.00 90.00
Closest atoms and distances in Å follow each position.
Positions (direct):
Ta: 0.0000 0.0000 0.0000  6 Al 2.48
Al: 0.0000 0.0000 0.5000  2 Ta 2.48
Al: 0.0000 0.5000 0.0000  2 Ta 2.48
Al: 0.5000 0.0000 0.0000  2 Ta 2.48
Pd: 0.5000 0.5000 0.5000  12 Al 3.51

Properties
The crystal system is cubic. The total energy is -4.62 eV per atom.

***

The following is a GGA-PBE calculation of a relaxed structure of La6Ag2Sn, from Alexandria.

abc: 9.1108 9.1108 9.1108
angles: 114.95 111.05 102.65
Closest atoms and distances in Å follow each position.
Positions (direct):
La: 0.0425 0.2372 0.8053  2 Ag 3.21-3.52, 1 Sn 3.37, 2 La 3.50
La: 0.1996 0.2830 0.4827  3 Ag 3.24-3.28, 1 Sn 3.45
La: 0.1996 0.7170 0.9166  3 Ag 3.24-3.28, 1 Sn 3.45
La: 0.3166 0.0383 0.7217  3 Ag 3.09-3.33, 1 Sn 3.43
La: 0.3166 0.5948 0.2783  3 Ag 3.09-3.33, 1 Sn 3.43
La: 0.4318 0.2372 0.1947  2 Ag 3.21-3.52, 1 Sn 3.37, 2 La 3.50
La: 0.5682 0.7628 0.8053  2 Ag 3.21-3.52, 1 Sn 3.37, 2 La 3.50
La: 0.6834 0.4052 0.7217  3 Ag 3.09-3.33, 1 Sn 3.43
La: 0.6834 0.9617 0.2783  3 Ag 3.09-3.33, 1 Sn 3.43
La: 0.8004 0.2830 0.0834  3 Ag 3.24-3.28, 1 Sn 3.45
La: 0.8004 0.7170 0.5173  3 Ag 3.24-3.28, 1 Sn 3.45
La: 0.9575 0.7628 0.1947  2 Ag 3.21-3.52, 1 Sn 3.37, 2 La 3.50
Ag: 0.1240 0.6240 0.5000  1 Ag 2.82, 2 La 3.09
Ag: 0.3621 0.0000 0.3621  1 Ag 2.84
Ag: 0.6379 0.0000 0.6379  1 Ag 2.84
Ag: 0.8760 0.3760 0.5000  1 Ag 2.82, 2 La 3.09
Sn: 0.0000 0.0000 0.0000  8 La 3.37-3.45, 2 Ag 3.73
Sn: 0.5000 0.5000 0.0000  12 La 3.43-3.76

Properties
The crystal system is orthorhombic. The total energy is -4.63 eV per atom.

***

The following is a GGA-PBE calculation of a relaxed structure of K2RbTl2Sb2, from Alexandria.

abc: 11.2661 5.1921 10.0277
angles: 90.00 111.83 90.00
Closest atoms and distances in Å follow each position.
Positions (direct):
K: 0.1112 0.0000 0.3893  1 Rb 3.63, 4 Sb 3.65-3.87, 2 Tl 3.89, 3 K 3.92-4.04
K: 0.3888 0.5000 0.6107  1 Rb 3.63, 4 Sb 3.65-3.87, 2 Tl 3.89, 3 K 3.92-4.04
K: 0.6112 0.5000 0.3893  1 Rb 3.63, 4 Sb 3.65-3.87, 2 Tl 3.89, 3 K 3.92-4.04
K: 0.8888 0.0000 0.6107  1 Rb 3.63, 4 Sb 3.65-3.87, 2 Tl 3.89, 3 K 3.92-4.04
Rb: 0.0000 0.0000 0.0000  6 Tl 3.58-3.86, 2 K 3.63, 4 Sb 3.81
Rb: 0.5000 0.5000 0.0000  6 Tl 3.58-3.86, 2 K 3.63, 4 Sb 3.81
Tl: 0.1312 0.5000 0.8510  3 Sb 3.17-3.43
Tl: 0.3688 0.0000 0.1490  3 Sb 3.17-3.43
Tl: 0.6312 0.0000 0.8510  3 Sb 3.17-3.43
Tl: 0.8688 0.5000 0.1490  3 Sb 3.17-3.43
Sb: 0.2409 0.5000 0.2190  3 Tl 3.17-3.43
Sb: 0.2591 0.0000 0.7810  3 Tl 3.17-3.43
Sb: 0.7409 0.0000 0.2190  3 Tl 3.17-3.43
Sb: 0.7591 0.5000 0.7810  3 Tl 3.17-3.43

Properties
The crystal system is monoclinic. Its formation energy without anion corrections is -187 kJ/mol of formula units. The total energy is -2.58 eV per atom.

***

The following is a GGA-PBE calculation of a relaxed structure of LiHfOsO2, from Alexandria.

abc: 3.7239 3.7239 4.4501
angles: 90.00 90.00 90.00
Closest atoms and distances in Å follow each position.
Positions (direct):
Li: 0.0000 0.0000 0.0000  4 O 1.86
Hf: 0.0000 0.0000 0.5000  2 Li 2.23
Os: 0.5000 0.5000 0.5000  4 Hf 2.63, 8 O 2.90
O: 0.0000 0.5000 0.0000  2 Li 1.86
O: 0.5000 0.0000 0.0000  2 Li 1.86

Properties
The crystal system is tetragonal. Its formation energy without anion corrections is 214 kJ/mol of formula units. The total energy is -6.16 eV per atom.

***

The following is a GGA-PBE calculation of a relaxed structure of VOsPb2, from Alexandria.

abc: 6.7839 6.7839 6.7839
angles: 90.00 90.00 90.00
Closest atoms and distances in Å follow each position.
Positions (direct):
V: 0.0000 0.0000 0.0000  8 Pb 2.94
V: 0.0000 0.5000 0.5000  8 Pb 2.94
V: 0.5000 0.0000 0.5000  8 Pb 2.94
V: 0.5000 0.5000 0.0000  8 Pb 2.94
Os: 0.0000 0.0000 0.5000  8 Pb 2.94
Os: 0.0000 0.5000 0.0000  8 Pb 2.94
Os: 0.5000 0.0000 0.0000  8 Pb 2.94
Os: 0.5000 0.5000 0.5000  8 Pb 2.94
Pb: 0.2500 0.2500 0.2500  4 Os 2.94, 4 V 2.94
Pb: 0.2500 0.2500 0.7500  4 Os 2.94, 4 V 2.94
Pb: 0.2500 0.7500 0.2500  4 Os 2.94, 4 V 2.94
Pb: 0.2500 0.7500 0.7500  4 Os 2.94, 4 V 2.94
Pb: 0.7500 0.2500 0.2500  4 Os 2.94, 4 V 2.94
Pb: 0.7500 0.2500 0.7500  4 Os 2.94, 4 V 2.94
Pb: 0.7500 0.7500 0.2500  4 Os 2.94, 4 V 2.94
Pb: 0.7500 0.7500 0.7500  4 V 2.94, 4 Os 2.94

Properties
The crystal system is cubic. The total energy is -6.20 eV per atom.

***

The following is a GGA-PBE calculation of a relaxed structure of Ru2PbCl, from Alexandria.

abc: 2.9576 4.2283 12.2304
angles: 90.00 90.00 90.00
Closest atoms and distances in Å follow each position.
Positions (direct):
Ru: 0.0000 0.0000 0.0000  2 Ru 2.59, 4 Pb 2.85
Ru: 0.0000 0.5000 0.3260  4 Cl 2.58, 2 Ru 2.59
Ru: 0.5000 0.0000 0.8260  4 Cl 2.58, 2 Ru 2.59
Ru: 0.5000 0.5000 0.5000  2 Ru 2.59, 4 Pb 2.85
Pb: 0.0000 0.0000 0.5987  6 Ru 2.85-3.15, 2 Pb 2.96
Pb: 0.5000 0.5000 0.0987  6 Ru 2.85-3.15, 2 Pb 2.96
Cl: 0.0000 0.5000 0.8158  4 Ru 2.58
Cl: 0.5000 0.0000 0.3158  4 Ru 2.58

Properties
The crystal system is orthorhombic. Its formation energy without anion corrections is 240 kJ/mol of formula units. The total energy is -5.40 eV per atom.

***

The following is a GGA-PBE calculation of a relaxed structure of HgTeAs2, from Alexandria.

abc: 6.0381 6.0381 14.0867
angles: 90.00 90.00 90.00
Closest atoms and distances in Å follow each position.
Positions (direct):
Hg: 0.0000 0.0000 0.0000  4 As 2.74
Hg: 0.0000 0.5000 0.2500  4 As 2.74
Hg: 0.5000 0.0000 0.7500  4 As 2.74
Hg: 0.5000 0.5000 0.5000  4 As 2.74
Te: 0.0000 0.0000 0.5000  4 As 2.79
Te: 0.0000 0.5000 0.7500  4 As 2.79
Te: 0.5000 0.0000 0.2500  4 As 2.79
Te: 0.5000 0.5000 0.0000  4 As 2.79
As: 0.2419 0.2500 0.1250  2 Hg 2.74, 2 Te 2.79
As: 0.2500 0.7419 0.3750  2 Hg 2.74, 2 Te 2.79
As: 0.2500 0.7581 0.8750  2 Hg 2.74, 2 Te 2.79
As: 0.2581 0.2500 0.6250  2 Hg 2.74, 2 Te 2.79
As: 0.7419 0.7500 0.6250  2 Hg 2.74, 2 Te 2.79
As: 0.7500 0.2419 0.8750  2 Hg 2.74, 2 Te 2.79
As: 0.7500 0.2581 0.3750  2 Hg 2.74, 2 Te 2.79
As: 0.7581 0.7500 0.1250  2 Hg 2.74, 2 Te 2.79

Properties
The crystal system is tetragonal. Its formation energy without anion corrections is 126 kJ/mol of formula units. The total energy is -2.86 eV per atom.

***

The following is a GGA-PBE calculation of a relaxed structure of TaCu3Hg, from Alexandria.

abc: 4.8500 4.8500 4.8500
angles: 90.00 90.00 90.00
Closest atoms and distances in Å follow each position.
Positions (direct):
Ta: 0.0000 0.0000 0.0000  6 Cu 2.43
Cu: 0.0000 0.0000 0.5000  2 Ta 2.43
Cu: 0.0000 0.5000 0.0000  2 Ta 2.43
Cu: 0.5000 0.0000 0.0000  2 Ta 2.43
Hg: 0.5000 0.5000 0.5000  12 Cu 3.43

Properties
The crystal system is cubic. The total energy is -3.52 eV per atom.

***

The following is a GGA-PBE calculation of a relaxed structure of Mo3PbS, from Alexandria.

abc: 5.0487 5.0487 5.0487
angles: 90.00 90.00 90.00
Closest atoms and distances in Å follow each position.
Positions (direct):
Mo: 0.0000 0.0000 0.5000  2 Pb 2.52
Mo: 0.0000 0.5000 0.0000  2 Pb 2.52
Mo: 0.5000 0.0000 0.0000  2 Pb 2.52
Pb: 0.0000 0.0000 0.0000  6 Mo 2.52
S: 0.5000 0.5000 0.5000  12 Mo 3.57

Properties
The crystal system is cubic. Its formation energy without anion corrections is 1372 kJ/mol of formula units. The total energy is -5.22 eV per atom.